Entry 1:
This record from Alexandria describes a relaxed structure of PrSmGdDy. The functional is PBE.

Calculated values
The density of states at the Fermi level comes out at 2.1248 states/eV per atom. The value obtained for the formation energy is 0.115 eV/atom. For the volume, the calculation gives 33.759 Å³/atom. Its space-group type is F-43m (216).

Cell lengths 8.144, 8.144, 8.144 Å; angles 90.00, 90.00, 90.00 degrees
Element x y z (fractional)
Pr1 0.000 0.000 0.000
Pr2 0.000 0.500 0.500
Pr3 0.500 0.000 0.500
Pr4 0.500 0.500 0.000
Sm1 0.000 0.000 0.500
Sm2 0.000 0.500 0.000
Sm3 0.500 0.000 0.000
Sm4 0.500 0.500 0.500
Gd1 0.250 0.250 0.250
Gd2 0.250 0.750 0.750
Gd3 0.750 0.250 0.750
Gd4 0.750 0.750 0.250
Dy1 0.250 0.250 0.750
Dy2 0.250 0.750 0.250
Dy3 0.750 0.250 0.250
Dy4 0.750 0.750 0.750

Entry 2:
This record from Alexandria describes a relaxed structure of PrGdDySn. The functional is PBE.

Calculated values
The density of states at the Fermi level comes out at 1.1337 states/eV per atom. The value obtained for the formation energy is -0.264 eV/atom. For the volume, the calculation gives 29.510 Å³/atom. Its space-group type is F-43m (216).

Cell lengths 7.787, 7.787, 7.787 Å; angles 90.00, 90.00, 90.00 degrees
Element x y z (fractional)
Pr1 0.000 0.000 0.000
Pr2 0.000 0.500 0.500
Pr3 0.500 0.000 0.500
Pr4 0.500 0.500 0.000
Gd1 0.000 0.000 0.500
Gd2 0.000 0.500 0.000
Gd3 0.500 0.000 0.000
Gd4 0.500 0.500 0.500
Dy1 0.250 0.250 0.250
Dy2 0.250 0.750 0.750
Dy3 0.750 0.250 0.750
Dy4 0.750 0.750 0.250
Sn1 0.250 0.250 0.750
Sn2 0.250 0.750 0.250
Sn3 0.750 0.250 0.250
Sn4 0.750 0.750 0.750